Entry from Alexandria: crystalline PrNd2PaSb5 at its relaxed geometry (GGA-PBE).

Summary:
Energy = -46.5 eV for the cell shown
Size of the total moment = 0.0 Bohr magnetons per cell
Formation energy (no corrections) = -232 meV/atom

Lattice parameters (Å, degrees): 5.4663 5.4663 11.8715 90.00 90.00 90.00
Space group P4/mmm (No. 123)
Inequivalent atoms, fractional coordinates:
Pr1 0.0000 0.0000 0.0000 [1 per cell]
Nd1 0.5000 0.5000 0.2719 [2 per cell]
Pa1 0.0000 0.0000 0.5000 [1 per cell]
Sb1 0.0000 0.0000 0.2508 [2 per cell]
Sb2 0.0000 0.5000 0.5000 [2 per cell]
Sb3 0.5000 0.5000 0.0000 [1 per cell]